Entry 1:
Dy2Si3Pd: relaxed, GGA-PBE.

abc: 8.160 8.160 8.096
angles: 90.00 90.00 120.00
Positions (direct):
Dy 0.000 0.000 0.250
Dy 0.000 0.000 0.750
Dy 0.000 0.500 0.250
Dy 0.000 0.500 0.750
Dy 0.500 0.000 0.250
Dy 0.500 0.000 0.750
Dy 0.500 0.500 0.250
Dy 0.500 0.500 0.750
Si 0.166 0.331 0.000
Si 0.166 0.331 0.500
Si 0.166 0.834 0.000
Si 0.166 0.834 0.500
Si 0.331 0.166 0.000
Si 0.331 0.166 0.500
Si 0.669 0.834 0.000
Si 0.669 0.834 0.500
Si 0.834 0.166 0.000
Si 0.834 0.166 0.500
Si 0.834 0.669 0.000
Si 0.834 0.669 0.500
Pd 0.333 0.667 0.000
Pd 0.333 0.667 0.500
Pd 0.667 0.333 0.000
Pd 0.667 0.333 0.500

Calculated values
formation energy from raw total energies = -20.73 kcal/mol of atoms
D(E_F) = 0.346 states/eV/atom
total energy = -6.0102 eV/atom


Entry 2:
AlZn2Rh: relaxed, GGA-PBE.

abc: 4.581 4.581 2.945
angles: 90.00 90.00 110.88
Positions (direct):
Al 0.000 0.000 0.000
Zn 0.000 0.500 0.500
Zn 0.500 0.000 0.500
Rh 0.500 0.500 0.000

Calculated values
D(E_F) = 0.472 states/eV/atom
total energy = -3.7178 eV/atom
energy of formation = -0.3073 eV per atom


Entry 3:
Al3Au2: relaxed, GGA-PBE.

abc: 7.241 5.334 7.750
angles: 64.12 41.52 74.36
Positions (direct):
Al 0.000 0.000 0.000
Al 0.250 0.250 0.250
Al 0.296 0.638 0.494
Al 0.638 0.296 0.571
Al 0.679 0.756 0.612
Al 0.756 0.679 0.954
Au 0.131 0.492 0.972
Au 0.278 0.845 0.119
Au 0.492 0.131 0.405
Au 0.845 0.278 0.758

Calculated values
D(E_F) = 0.306 states/eV/atom
total energy = -3.7558 eV/atom
energy of formation = -0.1993 eV per atom


Entry 4:
ZrPdPt3: relaxed, GGA-PBE.

abc: 4.782 4.782 4.782
angles: 90.00 90.00 90.00
Positions (direct):
Zr 0.000 0.000 0.000
Pd 0.500 0.500 0.500
Pt 0.000 0.500 0.500
Pt 0.500 0.000 0.500
Pt 0.500 0.500 0.000

Calculated values
D(E_F) = 1.256 states/eV/atom
total energy = -5.5336 eV/atom
energy of formation = 0.8391 eV per atom